Record 1
A relaxed structure of LaIr3Br, computed with PBE.

Cell and atoms, written as POSCAR:
```
LaIr3Br
1.0
5.103 0.000 0.000
0.000 5.103 0.000
0.000 0.000 5.103
La Ir Br
1 3 1
Direct
0.000 0.000 0.000
0.000 0.000 0.500
0.000 0.500 0.000
0.500 0.000 0.000
0.500 0.500 0.500
```

Space group: Pm-3m
Polymorph energy (0 for the lowest one), eV/atom: 1.242

Record 2
A relaxed structure of TiGePdPt, computed with PBE.

Cell and atoms, written as POSCAR:
```
TiGePdPt
1.0
0.000 3.151 3.151
3.151 0.000 3.151
3.151 3.151 0.000
Ti Ge Pd Pt
1 1 1 1
Direct
0.000 0.000 0.000
0.500 0.500 0.500
0.250 0.250 0.250
0.750 0.750 0.750
```

Space group: F-43m
ΔH_f (0 K), eV/f.u.: -2.31

Record 3
A relaxed structure of Co2TcBr, computed with PBE.

Cell and atoms, written as POSCAR:
```
Co2TcBr
1.0
2.976 0.000 0.000
0.000 1.530 6.578
0.000 -1.530 6.578
Co Tc Br
2 1 1
Direct
0.000 0.000 0.000
0.500 0.408 0.408
0.000 0.807 0.807
0.500 0.157 0.157
```

Space group: Amm2
Polymorph energy (0 for the lowest one), eV/atom: 0.052

Record 4
A relaxed structure of CsSnTe3, computed with PBE.

Cell and atoms, written as POSCAR:
```
CsSnTe3
1.0
6.240 0.000 0.000
0.000 6.240 0.000
0.000 0.000 6.240
Cs Sn Te
1 1 3
Direct
0.000 0.000 0.000
0.500 0.500 0.500
0.000 0.000 0.500
0.000 0.500 0.000
0.500 0.000 0.000
```

E, eV/atom: -1.9046
Space group: Pm-3m

Record 5
A relaxed structure of TiV2B, computed with PBE.

Cell and atoms, written as POSCAR:
```
TiV2B
1.0
1.588 -4.447 0.000
1.588 4.447 0.000
0.000 0.000 6.943
Ti V B
2 4 2
Direct
0.062 0.938 0.750
0.938 0.062 0.250
0.354 0.646 0.551
0.354 0.646 0.949
0.646 0.354 0.051
0.646 0.354 0.449
0.230 0.770 0.250
0.770 0.230 0.750
```

Space group: Cmcm
ΔH_f (0 K), eV/f.u.: -1.45

Record 6
A relaxed structure of SrAcAlSi, computed with PBE.

Cell and atoms, written as POSCAR:
```
SrAcAlSi
1.0
0.000 3.885 3.885
3.885 0.000 3.885
3.885 3.885 0.000
Sr Ac Al Si
1 1 1 1
Direct
0.000 0.000 0.000
0.500 0.500 0.500
0.750 0.750 0.750
0.250 0.250 0.250
```

Space group: F-43m
Polymorph energy (0 for the lowest one), eV/atom: 0.242

Total moment values, unit μB per formula unit, following the record order: 2.92, 0.00, 2.38, 0.00, 0.00, 0.00.